Density functional theory data (GGA-PBE) for a relaxed Tl2Cl crystal.

Summary:
Its energy relative to the elements, uncorrected is -128 kJ/mol of formula units. The value obtained for the energy above the lowest structure with this stoichiometry is 0.277 eV/f.u.

a b c (Å): 3.548 7.397 7.931
angles (deg): 90.00 90.00 90.00
Atoms (fractional coordinates):
1 Cl 0.500 0.500 0.500
2 Tl 0.000 0.816 0.350
3 Tl 0.000 0.184 0.650
4 Cl 0.000 0.000 0.000
5 Tl 0.500 0.684 0.850
6 Tl 0.500 0.316 0.150


Density functional theory data (GGA-PBE) for a relaxed Tl4Cl crystal.

Summary:
Its energy relative to the elements, uncorrected is -25 kJ/mol of formula units. The value obtained for the energy above the lowest structure with this stoichiometry is 0.549 eV/f.u.

a b c (Å): 5.863 5.863 5.863
angles (deg): 90.00 90.00 90.00
Atoms (fractional coordinates):
1 Tl 0.500 0.000 0.500
2 Tl 0.000 0.000 0.000
3 Tl 0.500 0.500 0.000
4 Cl 0.500 0.500 0.500
5 Tl 0.000 0.500 0.500


Density functional theory data (GGA-PBE) for a relaxed Tl2Cl crystal.

Summary:
Its energy relative to the elements, uncorrected is -95 kJ/mol of formula units. The value obtained for the energy above the lowest structure with this stoichiometry is 0.613 eV/f.u.

a b c (Å): 6.521 6.521 6.521
angles (deg): 60.00 60.00 60.00
Atoms (fractional coordinates):
1 Tl 0.125 0.125 0.125
2 Cl 0.500 0.500 0.500
3 Cl 0.750 0.750 0.750
4 Tl 0.125 0.625 0.125
5 Tl 0.125 0.125 0.625
6 Tl 0.625 0.125 0.125


Density functional theory data (GGA-PBE) for a relaxed Tl2Cl3 crystal.

Summary:
Its energy relative to the elements, uncorrected is -369 kJ/mol of formula units.

a b c (Å): 9.476 9.476 9.476
angles (deg): 27.88 27.88 27.88
Atoms (fractional coordinates):
1 Cl 0.221 0.221 0.221
2 Tl 0.400 0.400 0.400
3 Cl 0.779 0.779 0.779
4 Cl 0.000 0.000 0.000
5 Tl 0.600 0.600 0.600


Density functional theory data (GGA-PBE) for a relaxed TlCl2 crystal.

Summary:
Its energy relative to the elements, uncorrected is -195 kJ/mol of formula units.

a b c (Å): 9.669 9.669 5.334
angles (deg): 90.00 90.00 154.45
Atoms (fractional coordinates):
1 Cl 0.302 0.698 0.250
2 Cl 0.075 0.925 0.250
3 Cl 0.925 0.075 0.750
4 Tl 0.664 0.336 0.250
5 Cl 0.698 0.302 0.750
6 Tl 0.336 0.664 0.750


Density functional theory data (GGA-PBE) for a relaxed Tl5Cl3 crystal.

Summary:
Its energy relative to the elements, uncorrected is -449 kJ/mol of formula units. The value obtained for the energy above the lowest structure with this stoichiometry is 0.216 eV/f.u.

a b c (Å): 9.360 9.360 6.755
angles (deg): 90.00 90.00 120.00
Atoms (fractional coordinates):
1 Tl 0.000 0.783 0.750
2 Cl 0.000 0.388 0.750
3 Tl 0.667 0.333 0.500
4 Cl 0.388 0.388 0.250
5 Tl 0.000 0.217 0.250
6 Tl 0.667 0.333 0.000
7 Cl 0.612 0.612 0.750
8 Tl 0.217 0.000 0.250
9 Cl 0.000 0.612 0.250
10 Cl 0.388 0.000 0.750
11 Tl 0.217 0.217 0.750
12 Tl 0.783 0.783 0.250
13 Cl 0.612 0.000 0.250
14 Tl 0.333 0.667 0.500
15 Tl 0.333 0.667 0.000
16 Tl 0.783 0.000 0.750